Entry 1:
20
Lattice="-5.023 5.023 5.023 5.023 -5.023 5.023 5.023 5.023 -5.023" Properties=species:S:1:pos:R:3 comment="PBE Cs4Pu3IF12, optimized geometry" e_tot_ev_per_atom=-6.43 crystal_system=cubic m_tot_mub_per_fu=15.000 pbc="T T T"
Cs 2.512 2.512 -2.512
Cs 2.512 -2.512 2.512
Cs -2.512 2.512 2.512
Cs 2.512 2.512 2.512
Pu 5.023 0.000 0.000
Pu 0.000 5.023 0.000
Pu 0.000 0.000 5.023
I 0.000 0.000 0.000
F 2.928 0.000 0.000
F 7.118 0.000 0.000
F 5.023 2.512 0.000
F 5.023 0.000 2.512
F 0.000 2.928 0.000
F 0.000 0.000 2.928
F 2.512 5.023 0.000
F 2.512 0.000 5.023
F 0.000 7.118 0.000
F 0.000 0.000 7.118
F 0.000 5.023 2.512
F 0.000 2.512 5.023

---

Entry 2:
9
Lattice="6.671 -4.401 0.000 6.671 4.401 0.000 -1.718 0.000 6.467" Properties=species:S:1:pos:R:3 comment="PBE Cs2PuI4F2, optimized geometry" e_tot_ev_per_atom=-4.78 crystal_system=monoclinic m_tot_mub_per_fu=4.000 pbc="T T T"
Cs 1.794 0.000 2.192
Cs 9.829 0.000 4.275
Pu 6.671 0.000 0.000
I 5.022 2.224 1.273
I 6.602 2.224 5.193
I 5.022 -2.224 1.273
I 6.602 -2.224 5.193
F 3.658 0.000 4.829
F 7.965 0.000 1.638

---

Entry 3:
12
Lattice="-3.247 3.247 6.102 3.247 -3.247 6.102 3.247 3.247 -6.102" Properties=species:S:1:pos:R:3 comment="PBE Cs2RbIF8, optimized geometry" e_tot_ev_per_atom=-3.79 crystal_system=tetragonal m_tot_mub_per_fu=0.000 pbc="T T T"
Cs 0.000 0.000 0.000
Cs 0.000 3.247 3.051
Rb 0.000 0.000 6.102
I 3.247 0.000 3.051
F 1.256 2.016 -1.806
F 1.991 -1.231 4.295
F 2.016 1.256 1.806
F 4.478 1.256 1.806
F 1.256 4.478 -1.806
F 1.991 1.231 4.295
F -1.231 1.991 7.908
F 1.231 1.991 7.908

---

Entry 4:
10
Lattice="5.686 0.000 0.000 -0.166 6.269 0.000 -2.183 -2.808 7.135" Properties=species:S:1:pos:R:3 comment="PBE Cs2RbIF6, optimized geometry" e_tot_ev_per_atom=-3.77 crystal_system=triclinic m_tot_mub_per_fu=0.151 pbc="T T T"
Cs 1.347 1.584 0.024
Cs 1.990 1.877 7.111
Rb -1.174 1.730 3.567
I 1.752 -1.404 3.567
F 0.087 -0.703 2.606
F -0.830 1.721 6.346
F 1.294 3.005 2.777
F 2.043 0.456 4.358
F 4.166 1.740 0.789
F 3.250 4.164 4.529

---

Entry 5:
16
Lattice="5.294 -7.107 0.000 5.294 7.107 0.000 -5.223 0.000 6.496" Properties=species:S:1:pos:R:3 comment="PBE Cs2RbIF4, optimized geometry" e_tot_ev_per_atom=-3.69 crystal_system=monoclinic m_tot_mub_per_fu=0.000 pbc="T T T"
Cs 0.000 0.000 0.000
Cs -2.611 0.000 3.248
Cs 2.647 3.553 0.000
Cs 0.036 -3.553 3.248
Rb 5.294 0.000 0.000
Rb 2.683 0.000 3.248
I 0.036 3.553 3.248
I 2.647 -3.553 0.000
F -2.483 0.725 6.219
F 2.012 2.862 2.838
F 0.129 -0.725 2.971
F 5.966 2.862 0.410
F -0.599 -2.862 6.086
F 5.238 0.725 3.525
F 3.354 -2.862 3.658
F 7.849 -0.725 0.277

---

Entry 6:
16
Lattice="5.300 -6.806 0.000 5.300 6.806 0.000 -5.280 0.000 6.326" Properties=species:S:1:pos:R:3 comment="PBE CsRb2IF4, optimized geometry" e_tot_ev_per_atom=-3.70 crystal_system=monoclinic m_tot_mub_per_fu=0.000 pbc="T T T"
Cs 0.000 0.000 0.000
Cs -2.640 0.000 3.163
Rb 2.650 3.403 0.000
Rb 0.010 -3.403 3.163
Rb 5.300 0.000 0.000
Rb 2.660 0.000 3.163
I 0.010 3.403 3.163
I 2.650 -3.403 0.000
F 2.043 2.947 2.696
F -2.544 0.729 6.159
F 0.097 -0.729 2.996
F 5.916 2.947 0.467
F -0.597 -2.947 5.859
F 5.223 0.729 3.330
F 7.863 -0.729 0.167
F 3.276 -2.947 3.630